A plane-wave DFT calculation with PBE was carried out for BaTl2AgBr5 after structural relaxation.

Density of states at the Fermi level: 0.0 states/eV per cell
Calculated total energy: -113.61 eV per cell

a = 4.6981 Å, b = 19.6236 Å, c = 14.3972 Å
α = 90.00°, β = 90.00°, γ = 90.00°
Closest atoms and distances in Å follow each position.
Space group Cmc2_1 (No. 36)
Symmetry-distinct sites (fractional):
1 Ba 0.0000 0.1978 0.0000 [4 per cell]  6 Br 3.21-3.28
2 Tl 0.0000 0.0960 0.6360 [4 per cell]  5 Br 3.37-3.41
3 Tl 0.0000 0.1206 0.3069 [4 per cell]  7 Br 3.40-3.72
4 Ag 0.0000 0.4485 0.3834 [4 per cell]  4 Br 2.66-2.81
5 Br 0.0000 0.0314 0.9772 [4 per cell]  2 Ag 2.74
6 Br 0.0000 0.2891 0.6512 [4 per cell]  2 Ba 3.21
7 Br 0.0000 0.3083 0.3452 [4 per cell]  1 Ag 2.81
8 Br 0.0000 0.3604 0.9753 [4 per cell]  1 Ba 3.21, 4 Tl 3.40-3.41
9 Br 0.0000 0.4893 0.7192 [4 per cell]  1 Ag 2.66